Below is a geometry-optimized Rb2CrAs2O6 structure, with properties calculated at the PBE with a Hubbard U level.

POSCAR file:
```
Rb2CrAs2O6
1.0
2.9292 1.6912 6.1497
-2.9292 1.6912 6.1497
0.0000 -3.3824 6.1497
Rb Cr As O
2 1 2 6
Direct
0.2217 0.2217 0.2217 Rb
0.7783 0.7783 0.7783 Rb
0.0000 0.0000 0.0000 Cr
0.4250 0.4250 0.4250 As
0.5750 0.5750 0.5750 As
0.2331 0.2331 0.7330 O
0.2331 0.7330 0.2331 O
0.2670 0.7669 0.7669 O
0.7330 0.2331 0.2331 O
0.7669 0.2670 0.7669 O
0.7669 0.7669 0.2670 O
```

## Properties
Crystal system: trigonal
Density of states at the Fermi level (states/eV/f.u.): 0.66
Volume (Å³/atom): 16.6
Raw total energy (eV per cell): -64.42
SG: R-3m, No. 166